1.
A relaxed MnMo4Br crystal, computed with PBE.

a b c (Å): 5.295 5.295 5.295
angles (deg): 60.00 60.00 60.00
Element x y z (fractional)
Mn1 0.000 0.000 0.000
Mo1 0.375 0.375 0.375
Mo2 0.375 0.375 0.875
Mo3 0.375 0.875 0.375
Mo4 0.875 0.375 0.375
Br1 0.750 0.750 0.750



2.
A relaxed Mn2MoBr crystal, computed with PBE.

a b c (Å): 4.724 4.724 3.076
angles (deg): 90.00 90.00 111.80
Element x y z (fractional)
Mn1 0.000 0.500 0.000
Mn2 0.500 0.000 0.000
Mo1 0.000 0.000 0.500
Br1 0.500 0.500 0.500

Excess energy over the best structure of this formula in the dataset in eV/atom: 0.374



3.
A relaxed MnMo2Br crystal, computed with PBE.

a b c (Å): 4.943 4.943 2.960
angles (deg): 90.00 90.00 116.86
Element x y z (fractional)
Mn1 0.000 0.000 0.000
Mo1 0.000 0.500 0.500
Mo2 0.500 0.000 0.500
Br1 0.500 0.500 0.000

Excess energy over the best structure of this formula in the dataset in eV/atom: 0.545



Number 1: density of states at the Fermi level 4.98 states/eV/f.u., size of the total moment 0.5252 μB per atom, E_form (uncorrected) 85.02 kJ per mole of atoms. Number 2: density of states at the Fermi level 3.29 states/eV/f.u., size of the total moment 1.3952 μB per atom, E_form (uncorrected) 68.51 kJ per mole of atoms. Number 3: density of states at the Fermi level 4.02 states/eV/f.u., size of the total moment 0.6765 μB per atom, E_form (uncorrected) 85.04 kJ per mole of atoms.